8
Lattice="2.788 1.609 6.958 -2.788 1.609 6.958 0.000 -3.219 6.958" Properties=species:S:1:pos:R:3 comment="PaAlAu6, optimized geometry, DFT PBE" total_energy_ev_per_cell=-33.5 m_tot_mub_per_cell=1.278 sg="No. 166" pbc="T T T"
Pa 0.000 0.000 0.000
Al 0.000 0.000 10.437
Au -1.414 -0.817 8.469
Au 0.000 -1.633 12.406
Au -1.414 0.817 12.406
Au 1.414 -0.817 8.469
Au 0.000 1.633 8.469
Au 1.414 0.817 12.406

---

5
Lattice="3.742 0.000 0.000 0.000 3.742 0.000 0.000 0.000 4.720" Properties=species:S:1:pos:R:3 comment="TcHPd2F, optimized geometry, DFT PBE" total_energy_ev_per_cell=-25.1 m_tot_mub_per_cell=4.510 sg="No. 123" pbc="T T T"
Tc 0.000 0.000 0.000
H 1.871 1.871 2.360
Pd 0.000 1.871 2.360
Pd 1.871 0.000 2.360
F 1.871 1.871 0.000

---

5
Lattice="4.793 0.000 0.000 0.000 4.793 0.000 0.000 0.000 4.774" Properties=species:S:1:pos:R:3 comment="KTaTlIr2, optimized geometry, DFT PBE" total_energy_ev_per_cell=-18.9 m_tot_mub_per_cell=0.000 sg="No. 123" pbc="T T T"
K 0.000 0.000 0.000
Ta 0.000 0.000 2.387
Tl 2.397 2.397 2.387
Ir 0.000 2.397 0.000
Ir 2.397 0.000 0.000

---

4
Lattice="2.740 -4.077 0.000 2.740 4.077 0.000 0.000 0.000 2.833" Properties=species:S:1:pos:R:3 comment="Re2HgOs, optimized geometry, DFT PBE" total_energy_ev_per_cell=-33.3 m_tot_mub_per_cell=0.000 sg="No. 65" pbc="T T T"
Re 1.370 2.039 0.000
Re 1.370 -2.039 0.000
Hg 0.000 0.000 1.416
Os 2.740 0.000 1.416

---

4
Lattice="1.861 1.075 5.925 -1.861 1.075 5.925 0.000 -2.149 5.925" Properties=species:S:1:pos:R:3 comment="V2AsSe, optimized geometry, DFT PBE" polymorph_energy_mev_per_atom=67 total_energy_ev_per_cell=-27.4 formation_energy_uncorrected_mev_per_atom=-249.1 m_tot_mub_per_cell=4.487 sg="No. 166" pbc="T T T"
V 0.000 0.000 4.303
V 0.000 0.000 13.473
As 0.000 0.000 8.888
Se 0.000 0.000 0.000

---

8
Lattice="5.971 0.000 0.000 0.000 4.129 0.000 0.000 0.000 7.701" Properties=species:S:1:pos:R:3 comment="SrGa3, optimized geometry, DFT PBE" total_energy_ev_per_cell=-24.1 m_tot_mub_per_cell=0.000 sg="No. 51" pbc="T T T"
Sr 1.493 0.000 1.470
Sr 4.478 0.000 6.231
Ga 0.000 2.064 3.850
Ga 1.493 0.000 4.825
Ga 1.493 2.064 6.560
Ga 2.986 2.064 3.850
Ga 4.478 0.000 2.876
Ga 4.478 2.064 1.141

---

12
Lattice="2.636 -5.008 0.000 2.636 5.008 0.000 0.000 0.000 7.266" Properties=species:S:1:pos:R:3 comment="PaHPd, optimized geometry, DFT PBE" polymorph_energy_mev_per_atom=76 total_energy_ev_per_cell=-74.7 m_tot_mub_per_cell=0.000 sg="No. 64" pbc="T T T"
Pa 2.636 3.285 6.554
Pa 2.636 1.723 2.921
Pa 2.636 -1.723 4.345
Pa 2.636 -3.285 0.712
H 2.636 3.409 4.346
H 2.636 1.599 0.713
H 2.636 -1.599 6.553
H 2.636 -3.409 2.920
Pd 1.318 0.786 5.449
Pd 1.318 -0.786 1.816
Pd 3.954 0.786 5.449
Pd 3.954 -0.786 1.816

---

8
Lattice="3.873 0.000 0.000 0.000 3.873 0.000 0.000 0.000 15.746" Properties=species:S:1:pos:R:3 comment="Li3Ca4Ag, optimized geometry, DFT PBE" polymorph_energy_mev_per_atom=0 total_energy_ev_per_cell=-17.2 m_tot_mub_per_cell=0.000 sg="No. 123" pbc="T T T"
Li 0.000 0.000 0.000
Li 0.000 0.000 4.057
Li 0.000 0.000 11.690
Ca 1.937 1.937 2.026
Ca 1.937 1.937 6.106
Ca 1.937 1.937 9.640
Ca 1.937 1.937 13.721
Ag 0.000 0.000 7.873